(1)
First-principles (PBE) data for an optimized crystal structure of Pm2AlGe4Au3, as listed in the Alexandria database.

raw total energy	-4.65	eV per atom
E_form	-495.1	meV/atom

Geometry as extended XYZ:
```
10
Lattice="4.323 0.000 0.000 0.000 4.323 0.000 0.000 0.000 11.106" Properties=species:S:1:pos:R:3 pbc="T T T"
Pm 0.000 2.161 2.707
Pm 2.161 0.000 8.399
Al 2.161 2.161 0.000
Ge 0.000 0.000 5.553
Ge 0.000 2.161 9.591
Ge 2.161 0.000 1.515
Ge 2.161 2.161 5.553
Au 0.000 0.000 0.000
Au 0.000 2.161 7.102
Au 2.161 0.000 4.004
```

***

(2)
First-principles (PBE) data for an optimized crystal structure of Sr2HfTiPb, as listed in the Alexandria database.

raw total energy	-3.97	eV per atom
E_form	1014.3	meV/atom

Geometry as extended XYZ:
```
5
Lattice="6.173 0.000 0.000 0.000 6.173 0.000 0.000 0.000 5.326" Properties=species:S:1:pos:R:3 pbc="T T T"
Sr 0.000 3.087 0.000
Sr 3.087 0.000 0.000
Hf 0.000 0.000 2.663
Ti 3.087 3.087 2.663
Pb 3.087 3.087 0.000
```

***

(3)
First-principles (PBE) data for an optimized crystal structure of Er4ThP5, as listed in the Alexandria database.

raw total energy	-6.87	eV per atom
E_form	-1600.9	meV/atom

Geometry as extended XYZ:
```
10
Lattice="-2.006 2.839 10.006 2.006 -2.839 10.006 2.006 2.839 -10.006" Properties=species:S:1:pos:R:3 pbc="T T T"
Er 0.000 0.000 2.054
Er 0.000 0.000 5.943
Er 0.000 0.000 14.068
Er 0.000 0.000 17.958
Th 0.000 0.000 10.006
P 2.006 0.000 0.000
P 2.006 0.000 3.997
P 2.006 0.000 7.934
P 0.000 2.839 2.071
P 0.000 2.839 6.009
```

***

(4)
First-principles (PBE) data for an optimized crystal structure of Pr4SiSeS2, as listed in the Alexandria database.

raw total energy	-6.21	eV per atom
ΔE_f (raw)	-1679	meV per atom

Geometry as extended XYZ:
```
8
Lattice="7.244 0.000 0.000 0.000 4.206 0.000 -2.450 0.000 6.926" Properties=species:S:1:pos:R:3 pbc="T T T"
Pr 1.182 0.000 1.647
Pr -0.051 2.103 5.235
Pr 4.845 2.103 1.690
Pr 3.612 0.000 5.279
Si 3.622 0.000 0.000
Se 2.397 2.103 3.463
S -1.225 0.000 3.463
S 0.000 2.103 0.000
```

***

(5)
First-principles (PBE) data for an optimized crystal structure of KInOs2, as listed in the Alexandria database.

raw total energy	-5.38	eV per atom
E_form	1189.0	meV/atom

Geometry as extended XYZ:
```
4
Lattice="-1.429 2.536 5.277 1.429 -2.536 5.277 1.429 2.536 -5.277" Properties=species:S:1:pos:R:3 pbc="T T T"
K 0.000 0.000 0.000
In 0.000 0.000 5.277
Os 1.429 0.000 2.949
Os 0.000 2.536 2.328
```

***

(6)
First-principles (PBE) data for an optimized crystal structure of CuSnGeO2, as listed in the Alexandria database.

raw total energy	-4.89	eV per atom
ΔE_f (raw)	-368	meV per atom

Geometry as extended XYZ:
```
5
Lattice="3.804 0.000 0.000 0.000 3.804 0.000 0.000 0.000 5.101" Properties=species:S:1:pos:R:3 pbc="T T T"
Cu 0.000 0.000 0.000
Sn 1.902 1.902 0.000
Ge 0.000 0.000 2.550
O 0.000 1.902 2.550
O 1.902 0.000 2.550
```

***

(7)
First-principles (PBE) data for an optimized crystal structure of Th12Os3N5, as listed in the Alexandria database.

raw total energy	-8.91	eV per atom
ΔE_f (raw)	-696	meV per atom

Geometry as extended XYZ:
```
80
Lattice="-7.863 7.863 7.863 7.863 -7.863 7.863 7.863 7.863 -7.863" Properties=species:S:1:pos:R:3 pbc="T T T"
Th 2.357 -0.524 0.907
Th 9.438 4.839 -4.456
Th 10.220 0.524 0.907
Th 9.438 -3.024 4.456
Th 7.339 -0.907 2.357
Th 12.319 -1.575 3.024
Th 0.907 2.357 -0.524
Th 10.887 3.407 -1.575
Th 4.839 4.456 -1.575
Th 6.955 2.357 0.524
Th -0.524 0.907 2.357
Th 4.456 -1.575 4.839
Th 7.339 6.955 -2.357
Th 4.456 1.575 3.024
Th 4.839 -4.456 9.438
Th 6.955 -2.357 7.339
Th 3.024 4.456 1.575
Th 8.770 5.506 0.524
Th 4.456 9.438 -3.024
Th 7.339 0.907 5.506
Th 2.357 7.339 -0.907
Th 9.438 3.024 3.407
Th 1.575 3.024 4.456
Th 2.357 0.524 6.955
Th 5.506 7.339 0.907
Th 6.288 4.839 3.407
Th -1.575 4.839 4.456
Th 5.506 0.524 8.770
Th 0.524 6.955 2.357
Th 3.407 -1.575 10.887
Th -0.907 2.357 7.339
Th 4.839 3.407 6.288
Th 0.907 10.220 0.524
Th 3.024 12.319 -1.575
Th 3.407 6.288 4.839
Th 0.524 0.907 10.220
Th 3.407 9.438 3.024
Th 8.387 6.955 5.506
Th 0.907 5.506 7.339
Th 3.024 3.407 9.438
Th -3.024 4.456 9.438
Th 6.955 5.506 8.387
Th -4.456 9.438 4.839
Th 0.524 8.770 5.506
Th -1.575 10.887 3.407
Th -2.357 7.339 6.955
Th -1.575 3.024 12.319
Th 5.506 8.387 6.955
Os 3.931 1.966 0.000
Os 7.863 3.931 -1.966
Os 1.966 0.000 3.931
Os 9.829 0.000 3.931
Os 0.000 3.931 1.966
Os 3.931 -1.966 7.863
Os 3.931 9.829 0.000
Os 7.863 3.931 5.897
Os -1.966 7.863 3.931
Os 5.897 7.863 3.931
Os 0.000 3.931 9.829
Os 3.931 5.897 7.863
N 0.000 0.000 0.000
N 3.931 3.931 -3.931
N 3.931 -3.931 3.931
N 7.863 0.000 0.000
N 11.794 1.966 0.000
N 7.863 -3.931 5.897
N 5.897 7.863 -3.931
N 5.897 0.000 3.931
N 3.931 5.897 0.000
N 7.863 3.931 1.966
N -3.931 3.931 3.931
N 0.000 7.863 0.000
N 0.000 0.000 7.863
N 3.931 3.931 3.931
N 0.000 3.931 5.897
N 3.931 1.966 7.863
N 1.966 7.863 3.931
N 1.966 0.000 11.794
N 0.000 11.794 1.966
N -3.931 5.897 7.863
```

***

(8)
First-principles (PBE) data for an optimized crystal structure of LaPr2Sm6, as listed in the Alexandria database.

raw total energy	-4.57	eV per atom
E above lowest polymorph	134	meV per atom
E_form	188.0	meV/atom

Geometry as extended XYZ:
```
9
Lattice="7.663 0.000 0.000 -3.831 6.636 0.000 0.000 0.000 6.190" Properties=species:S:1:pos:R:3 pbc="T T T"
La 0.000 0.000 0.000
Pr 0.000 4.424 1.352
Pr 3.831 2.212 4.837
Sm 0.000 2.468 4.392
Sm -1.694 5.402 4.392
Sm 2.137 1.234 1.797
Sm 1.694 5.402 4.392
Sm 5.525 1.234 1.797
Sm 3.831 4.168 1.797
```

***

(9)
First-principles (PBE) data for an optimized crystal structure of Na2Li2Cd2Pb, as listed in the Alexandria database.

raw total energy	-1.91	eV per atom
E_form	-199.9	meV/atom

Geometry as extended XYZ:
```
7
Lattice="4.374 -2.517 0.000 4.374 2.517 0.000 -2.841 0.000 7.171" Properties=species:S:1:pos:R:3 pbc="T T T"
Na 0.018 0.000 1.667
Na 5.889 0.000 5.504
Li 0.045 0.000 4.655
Li 5.861 0.000 2.516
Cd 2.918 0.000 0.430
Cd 2.988 0.000 6.740
Pb 2.953 0.000 3.585
```

***

(10)
First-principles (PBE) data for an optimized crystal structure of RbFeH3, as listed in the Alexandria database.

raw total energy	-3.64	eV per atom

Geometry as extended XYZ:
```
5
Lattice="3.902 0.000 0.000 0.000 3.902 0.000 0.000 0.000 3.902" Properties=species:S:1:pos:R:3 pbc="T T T"
Rb 0.000 0.000 0.000
Fe 1.951 1.951 1.951
H 0.000 1.951 1.951
H 1.951 0.000 1.951
H 1.951 1.951 0.000
```

***

(11)
First-principles (PBE) data for an optimized crystal structure of KSr2Au, as listed in the Alexandria database.

raw total energy	-2.01	eV per atom
E above lowest polymorph	309	meV per atom
E_form	-78.8	meV/atom

Geometry as extended XYZ:
```
4
Lattice="0.000 4.189 4.189 4.189 0.000 4.189 4.189 4.189 0.000" Properties=species:S:1:pos:R:3 pbc="T T T"
K 0.000 0.000 0.000
Sr 2.094 2.094 2.094
Sr 6.283 6.283 6.283
Au 4.189 4.189 4.189
```

***

(12)
First-principles (PBE) data for an optimized crystal structure of As3PbN, as listed in the Alexandria database.

raw total energy	-4.52	eV per atom
E above lowest polymorph	0	meV per atom
ΔE_f (raw)	678	meV per atom

Geometry as extended XYZ:
```
5
Lattice="4.543 0.000 0.000 0.000 4.543 0.000 0.000 0.000 4.543" Properties=species:S:1:pos:R:3 pbc="T T T"
As 0.000 0.000 2.272
As 0.000 2.272 0.000
As 2.272 0.000 0.000
Pb 2.272 2.272 2.272
N 0.000 0.000 0.000
```

***

The theoretical density results, record by record, are as follows: 9.6; 5.0; 7.7; 5.8; 11.6; 6.5; 11.7; 7.0; 5.2; 4.0; 4.6; 7.9 g cm⁻³.